No. 1
Compound: SmPuCuAu
Source: the Alexandria database
Functional: PBE
Structure: relaxed Values from VASP.

DOS at the Fermi energy   10.1 states/eV/f.u.
Total moment   5.781 μB per formula unit

```
&SYSTEM
  ibrav = 0, nat = 4, ntyp = 4
/
ATOMIC_SPECIES
Pu 244.00 Pu.upf
Cu 63.55 Cu.upf
Au 196.97 Au.upf
Sm 150.36 Sm.upf
CELL_PARAMETERS angstrom
-0.9816 -0.4710 4.9807
-3.9855 -2.7692 1.5620
0.7589 -4.4675 2.3365
ATOMIC_POSITIONS crystal
Pu 0.5000 0.5000 0.5000
Cu 0.2500 0.2500 0.2500
Au 0.7500 0.7500 0.7500
Sm 0.0000 0.0000 0.0000
```

No. 2
Compound: Pu2CuSnAu6
Source: the Alexandria database
Functional: PBE
Structure: relaxed Values from VASP.

DOS at the Fermi energy   30.1 states/eV/f.u.
Total moment   11.705 μB per formula unit

```
&SYSTEM
  ibrav = 0, nat = 10, ntyp = 4
/
ATOMIC_SPECIES
Cu 63.55 Cu.upf
Au 196.97 Au.upf
Pu 244.00 Pu.upf
Sn 118.71 Sn.upf
CELL_PARAMETERS angstrom
6.5477 -1.1568 -1.4026
-0.7395 6.8134 1.5406
1.8932 3.9860 5.4590
ATOMIC_POSITIONS crystal
Cu 0.0000 0.0000 0.0000
Au 0.3090 0.8219 0.0134
Au 0.9434 0.7656 0.8248
Au 0.3076 0.3218 0.5135
Au 0.6910 0.1781 0.9866
Au 0.0566 0.2344 0.1752
Au 0.6924 0.6782 0.4865
Pu 0.2328 0.7426 0.5084
Pu 0.7672 0.2574 0.4916
Sn 0.5000 0.5000 0.0000
```

No. 3
Compound: TbPuCuAu
Source: the Alexandria database
Functional: PBE
Structure: relaxed Values from VASP.

DOS at the Fermi energy   10.1 states/eV/f.u.
Total moment   5.720 μB per formula unit

```
&SYSTEM
  ibrav = 0, nat = 4, ntyp = 4
/
ATOMIC_SPECIES
Au 196.97 Au.upf
Cu 63.55 Cu.upf
Pu 244.00 Pu.upf
Tb 158.93 Tb.upf
CELL_PARAMETERS angstrom
-2.0152 0.4120 4.6180
2.4531 -1.8717 4.0045
2.0656 3.1311 3.3891
ATOMIC_POSITIONS crystal
Au 0.7500 0.7500 0.7500
Cu 0.2500 0.2500 0.2500
Pu 0.0000 0.0000 0.0000
Tb 0.5000 0.5000 0.5000
```

No. 4
Compound: PuTlCuAu
Source: the Alexandria database
Functional: PBE
Structure: relaxed Values from VASP.

DOS at the Fermi energy   16.3 states/eV/f.u.
Total moment   5.357 μB per formula unit

```
&SYSTEM
  ibrav = 0, nat = 4, ntyp = 4
/
ATOMIC_SPECIES
Au 196.97 Au.upf
Pu 244.00 Pu.upf
Cu 63.55 Cu.upf
Tl 204.38 Tl.upf
CELL_PARAMETERS angstrom
4.9645 0.0000 0.0000
2.4823 4.2994 0.0000
2.4823 1.4331 4.0535
ATOMIC_POSITIONS crystal
Au 0.2500 0.2500 0.2500
Pu 0.5000 0.5000 0.5000
Cu 0.7500 0.7500 0.7500
Tl 0.0000 0.0000 0.0000
```

No. 5
Compound: PuUCuAu
Source: the Alexandria database
Functional: PBE
Structure: relaxed Values from VASP.

DOS at the Fermi energy   6.6 states/eV/f.u.
Total moment   8.012 μB per formula unit

```
&SYSTEM
  ibrav = 0, nat = 4, ntyp = 4
/
ATOMIC_SPECIES
Pu 244.00 Pu.upf
U 238.03 U.upf
Cu 63.55 Cu.upf
Au 196.97 Au.upf
CELL_PARAMETERS angstrom
4.7937 0.0000 0.0000
2.3969 4.1515 0.0000
2.3969 1.3838 3.9140
ATOMIC_POSITIONS crystal
Pu 0.7500 0.7500 0.7500
U 0.0000 0.0000 0.0000
Cu 0.2500 0.2500 0.2500
Au 0.5000 0.5000 0.5000
```

No. 6
Compound: YPuCuAu
Source: the Alexandria database
Functional: PBE
Structure: relaxed Values from VASP.

DOS at the Fermi energy   10.1 states/eV/f.u.
Total moment   5.726 μB per formula unit

```
&SYSTEM
  ibrav = 0, nat = 4, ntyp = 4
/
ATOMIC_SPECIES
Pu 244.00 Pu.upf
Y 88.91 Y.upf
Au 196.97 Au.upf
Cu 63.55 Cu.upf
CELL_PARAMETERS angstrom
-4.2472 -1.8261 -2.0443
0.0540 -4.4606 -2.3774
-2.2888 -3.9994 2.0780
ATOMIC_POSITIONS crystal
Pu 0.7500 0.7500 0.7500
Y 0.2500 0.2500 0.2500
Au 0.5000 0.5000 0.5000
Cu 0.0000 0.0000 0.0000
```

No. 7
Compound: PuZn2CuAu4
Source: the Alexandria database
Functional: PBE
Structure: relaxed Values from VASP.

DOS at the Fermi energy   16.7 states/eV/f.u.
Total moment   5.540 μB per formula unit

```
&SYSTEM
  ibrav = 0, nat = 8, ntyp = 4
/
ATOMIC_SPECIES
Au 196.97 Au.upf
Zn 65.41 Zn.upf
Cu 63.55 Cu.upf
Pu 244.00 Pu.upf
CELL_PARAMETERS angstrom
-1.1582 4.2065 0.8849
-4.2840 1.2036 -0.1304
-2.6343 -0.2001 8.7020
ATOMIC_POSITIONS crystal
Au 0.1325 0.1325 0.6024
Au 0.6021 0.6021 0.1936
Au 0.8675 0.8675 0.3976
Au 0.3979 0.3979 0.8064
Zn 0.2402 0.2402 0.2794
Zn 0.7598 0.7598 0.7206
Cu 0.5000 0.5000 0.5000
Pu 0.0000 0.0000 0.0000
```

No. 8
Compound: PuZrCuAu
Source: the Alexandria database
Functional: PBE
Structure: relaxed Values from VASP.

DOS at the Fermi energy   11.2 states/eV/f.u.
Total moment   6.394 μB per formula unit

```
&SYSTEM
  ibrav = 0, nat = 4, ntyp = 4
/
ATOMIC_SPECIES
Pu 244.00 Pu.upf
Au 196.97 Au.upf
Zr 91.22 Zr.upf
Cu 63.55 Cu.upf
CELL_PARAMETERS angstrom
-2.4471 4.2644 -0.1072
-2.7380 1.3613 3.8517
1.4485 3.7385 2.8479
ATOMIC_POSITIONS crystal
Pu 0.0000 0.0000 0.0000
Au 0.2500 0.2500 0.2500
Zr 0.5000 0.5000 0.5000
Cu 0.7500 0.7500 0.7500
```

No. 9
Compound: RbCu2Au2
Source: the Alexandria database
Functional: PBE
Structure: relaxed Values from VASP.

DOS at the Fermi energy   1.4 states/eV/f.u.
Total moment   0.000 μB per formula unit
Polymorph energy (0 for the lowest one)   0.0000 eV per atom

```
&SYSTEM
  ibrav = 0, nat = 10, ntyp = 3
/
ATOMIC_SPECIES
Au 196.97 Au.upf
Cu 63.55 Cu.upf
Rb 85.47 Rb.upf
CELL_PARAMETERS angstrom
8.1773 0.0000 0.0000
0.0000 8.1773 0.0000
0.0000 0.0000 2.8969
ATOMIC_POSITIONS crystal
Au 0.8228 0.3228 0.5000
Au 0.1772 0.6772 0.5000
Au 0.6772 0.8228 0.5000
Au 0.3228 0.1772 0.5000
Cu 0.1111 0.3889 0.0000
Cu 0.8889 0.6111 0.0000
Cu 0.3889 0.8889 0.0000
Cu 0.6111 0.1111 0.0000
Rb 0.0000 0.0000 0.0000
Rb 0.5000 0.5000 0.0000
```

No. 10
Compound: RbCu2Au
Source: the Alexandria database
Functional: PBE
Structure: relaxed Values from VASP.

DOS at the Fermi energy   1.5 states/eV/f.u.
Total moment   0.000 μB per formula unit
Polymorph energy (0 for the lowest one)   0.4657 eV per atom

```
&SYSTEM
  ibrav = 0, nat = 4, ntyp = 3
/
ATOMIC_SPECIES
Au 196.97 Au.upf
Cu 63.55 Cu.upf
Rb 85.47 Rb.upf
CELL_PARAMETERS angstrom
3.5224 0.4020 3.4121
0.3678 4.1074 2.6842
-1.1819 -0.0680 4.7760
ATOMIC_POSITIONS crystal
Au 0.5000 0.5000 0.5000
Cu 0.7500 0.7500 0.7500
Cu 0.2500 0.2500 0.2500
Rb 0.0000 0.0000 0.0000
```

No. 11
Compound: RbCuAu2
Source: the Alexandria database
Functional: PBE
Structure: relaxed Values from VASP.

DOS at the Fermi energy   1.4 states/eV/f.u.
Total moment   0.000 μB per formula unit
Polymorph energy (0 for the lowest one)   0.0000 eV per atom

```
&SYSTEM
  ibrav = 0, nat = 4, ntyp = 3
/
ATOMIC_SPECIES
Au 196.97 Au.upf
Rb 85.47 Rb.upf
Cu 63.55 Cu.upf
CELL_PARAMETERS angstrom
4.6327 0.0000 0.0000
2.3163 4.0120 0.0000
2.3163 1.3373 6.1455
ATOMIC_POSITIONS crystal
Au 0.6814 0.6814 0.9558
Au 0.3186 0.3186 0.0442
Rb 0.5000 0.5000 0.5000
Cu 0.0000 0.0000 0.0000
```

No. 12
Compound: RbCu2Au2
Source: the Alexandria database
Functional: PBE
Structure: relaxed Values from VASP.

DOS at the Fermi energy   1.3 states/eV/f.u.
Total moment   0.000 μB per formula unit
Polymorph energy (0 for the lowest one)   0.0431 eV per atom

```
&SYSTEM
  ibrav = 0, nat = 10, ntyp = 3
/
ATOMIC_SPECIES
Rb 85.47 Rb.upf
Au 196.97 Au.upf
Cu 63.55 Cu.upf
CELL_PARAMETERS angstrom
-4.4318 -6.0206 -3.5116
4.9793 0.1771 -6.5876
1.6887 -1.9568 1.2238
ATOMIC_POSITIONS crystal
Rb 0.5000 0.5000 0.0000
Rb 0.0000 0.0000 0.0000
Au 0.3701 0.8701 0.0000
Au 0.6299 0.1299 0.0000
Au 0.1299 0.3701 0.0000
Au 0.8701 0.6299 0.0000
Cu 0.6628 0.8372 0.5000
Cu 0.8372 0.3372 0.5000
Cu 0.1628 0.6628 0.5000
Cu 0.3372 0.1628 0.5000
```

Energy, respectively: -6.880; -5.842; -6.881; -6.068; -8.302; -7.337; -4.488; -7.657; -3.064; -2.515; -3.037; -3.021 eV per atom.